Density functional theory data (PBE) for crystalline Tb3ErTl3 at its relaxed geometry.

Cell lengths 5.2504, 9.4061, 9.4061 Å; angles 120.00, 90.00, 90.00 degrees
Positions (direct):
Tl  0.7500  0.9279  0.5492
Tl  0.2500  0.3788  0.9279
Tl  0.2500  0.5492  0.6212
Tl  0.7500  0.4508  0.3788
Tl  0.7500  0.6212  0.0721
Tl  0.2500  0.0721  0.4508
Tb  0.2500  0.9969  0.7637
Tb  0.2500  0.2363  0.2332
Tb  0.7500  0.7637  0.7668
Tb  0.2500  0.7668  0.0031
Tb  0.7500  0.0031  0.2363
Tb  0.7500  0.2332  0.9969
Er  0.7500  0.3333  0.6667
Er  0.2500  0.6667  0.3333

Properties
**Size of the total moment**: 0.00 Bohr magnetons per cell
**DFT total energy**: -3.85 eV per atom
**Formation energy from the elements**: -1.4 eV/f.u.
**Fermi-level density of states**: 10.71 states/eV/cell